! La4Fe3NiO12 (PBE+U, optimized geometry); values from VASP
! Space-group type: P-1 (2)
! VASP energy: -143.36 eV for the cell shown
&SYSTEM
  ibrav = 0, nat = 20, ntyp = 4
/
ATOMIC_SPECIES
La 138.91 La.upf
Fe 55.84 Fe.upf
Ni 58.69 Ni.upf
O 16.00 O.upf
CELL_PARAMETERS angstrom
5.521 0.000 0.000
0.010 5.526 0.000
0.028 0.029 7.776
ATOMIC_POSITIONS crystal
La 0.031 0.003 0.250
La 0.465 0.510 0.752
La 0.535 0.490 0.248
La 0.969 0.997 0.750
Fe 0.000 0.500 0.000
Fe 0.500 0.000 0.000
Fe 0.500 0.000 0.500
Ni 0.000 0.500 0.500
O 0.012 0.431 0.757
O 0.218 0.787 0.962
O 0.226 0.785 0.542
O 0.287 0.281 0.040
O 0.288 0.267 0.463
O 0.488 0.923 0.252
O 0.512 0.077 0.748
O 0.712 0.733 0.537
O 0.713 0.719 0.960
O 0.774 0.215 0.458
O 0.782 0.213 0.038
O 0.988 0.569 0.243